Ti2CuGe2, optimized geometry, DFT PBE; space group = P4/mbm, No. 127; D(E_F) = 4.6 states/eV per cell; E = -5.94 eV/atom; relative energy among the computed polymorphs = 330 meV/atom; ΔH_f (0 K) = -11 kJ/mol of atoms
1.0
6.788 0.000 0.000
0.000 6.788 0.000
0.000 0.000 3.600
Ge Cu Ti
4 2 4
Cartesian
1.165 4.558 1.800
4.558 5.623 1.800
5.623 2.229 1.800
2.229 1.165 1.800
0.000 0.000 0.000
3.394 3.394 0.000
2.472 5.866 0.000
5.866 4.316 0.000
4.316 0.922 0.000
0.922 2.472 0.000

Ti4CuGe2, optimized geometry, DFT PBE; space group = R-3m, No. 166; D(E_F) = 8.3 states/eV per cell; E = -6.52 eV/atom; ΔH_f (0 K) = -10 kJ/mol of atoms
1.0
3.901 0.000 0.000
1.951 3.379 0.000
1.951 1.126 9.417
Ti Cu Ge
4 1 2
Cartesian
5.852 3.379 8.506
5.852 3.379 3.335
1.951 1.126 0.911
1.951 1.126 6.082
3.901 2.252 4.708
3.901 2.252 2.043
3.901 2.252 7.373

Ti2CuGe, optimized geometry, DFT PBE; space group = P4/mmm, No. 123; D(E_F) = 3.1 states/eV per cell; E = -6.41 eV/atom; ΔH_f (0 K) = -28 kJ/mol of atoms
1.0
3.398 0.000 0.000
0.000 3.398 0.000
0.000 0.000 5.257
Ge Cu Ti
1 1 2
Cartesian
1.699 1.699 2.628
1.699 1.699 0.000
0.000 0.000 3.926
0.000 0.000 1.331

TiCuGe3, optimized geometry, DFT PBE; space group = Pm-3m, No. 221; D(E_F) = 3.4 states/eV per cell; E = -4.57 eV/atom; relative energy among the computed polymorphs = 0 meV/atom; ΔH_f (0 K) = 58 kJ/mol of atoms
1.0
-2.044 4.113 -1.656
-1.803 -2.437 -3.828
-4.051 -0.991 2.539
Ge Cu Ti
3 1 1
Cartesian
-0.901 -1.218 -1.914
-2.025 -0.496 1.270
-1.022 2.057 -0.828
-3.949 0.343 -1.472
0.000 0.000 0.000

Ti2CuGe4, optimized geometry, DFT PBE; space group = P-4m2, No. 115; D(E_F) = 4.2 states/eV per cell; E = -5.73 eV/atom; ΔH_f (0 K) = -24 kJ/mol of atoms
1.0
3.724 0.000 0.000
0.000 3.724 0.000
0.000 0.000 8.407
Ti Cu Ge
2 1 4
Cartesian
1.862 0.000 6.284
0.000 1.862 2.123
1.862 1.862 0.000
1.862 0.000 1.459
0.000 1.862 6.948
1.862 1.862 4.204
0.000 0.000 4.204

Ti2CuGe2, optimized geometry, DFT PBE; space group = P4/mbm, No. 127; D(E_F) = 3.8 states/eV per cell; E = -6.24 eV/atom; relative energy among the computed polymorphs = 33 meV/atom; ΔH_f (0 K) = -40 kJ/mol of atoms
1.0
-0.799 4.523 -4.485
-1.439 -4.532 -4.314
-3.639 0.274 0.925
Ge Cu Ti
4 2 4
Cartesian
-1.535 -2.269 -5.366
-1.605 1.032 -6.619
-0.703 2.261 -3.433
-0.633 -1.041 -2.180
0.000 0.000 0.000
-1.119 -0.004 -4.399
-2.926 -2.130 -3.219
-3.547 -0.564 -6.123
-2.950 2.396 -4.655
-2.330 0.830 -1.750

Tl3CuGe, optimized geometry, DFT PBE; space group = Pm-3m, No. 221; D(E_F) = 2.4 states/eV per cell; E = -2.51 eV/atom; relative energy among the computed polymorphs = 239 meV/atom; ΔH_f (0 K) = 63 kJ/mol of atoms
1.0
5.591 0.000 0.000
0.000 5.591 0.000
0.000 0.000 5.591
Tl Ge Cu
3 1 1
Cartesian
0.000 2.796 0.000
0.000 0.000 2.796
2.796 0.000 0.000
0.000 0.000 0.000
2.796 2.796 2.796

TlCu2Ge, optimized geometry, DFT PBE; space group = I-42d, No. 122; D(E_F) = 3.7 states/eV per cell; E = -3.41 eV/atom; relative energy among the computed polymorphs = 33 meV/atom; ΔH_f (0 K) = 37 kJ/mol of atoms
1.0
-5.016 -4.901 1.373
-0.777 -1.167 -7.007
-0.782 -5.164 -2.697
Tl Ge Cu
2 2 4
Cartesian
0.000 0.000 0.000
-4.347 -6.550 -2.071
-2.897 -3.034 -2.817
-2.228 -4.682 -6.261
-3.219 -4.296 -0.749
-1.517 -2.837 -4.825
-2.791 -6.197 -4.428
-5.623 -9.134 -6.661